(1)
Mn2TlSn after structural relaxation. Source: the Alexandria database, functional PBE-GGA.

abc: 4.5098 4.5098 4.5098
angles: 60.00 60.00 60.00
Closest atoms and distances in Å follow each position.
Positions (direct):
Mn  0.2500  0.2500  0.2500  4 Sn 2.76, 4 Tl 2.76
Mn  0.7500  0.7500  0.7500  4 Sn 2.76, 4 Tl 2.76
Tl  0.0000  0.0000  0.0000  8 Mn 2.76
Sn  0.5000  0.5000  0.5000  8 Mn 2.76

---

(2)
MnTl2Sn2 after structural relaxation. Source: the Alexandria database, functional PBE-GGA.

abc: 7.1886 7.1886 5.3149
angles: 90.00 90.00 90.00
Closest atoms and distances in Å follow each position.
Positions (direct):
Mn  0.0000  0.0000  0.0000  4 Sn 2.75
Mn  0.5000  0.5000  0.0000  4 Sn 2.75
Tl  0.1718  0.3282  0.5000  6 Sn 3.23-3.51, 1 Tl 3.49
Tl  0.3282  0.8282  0.5000  6 Sn 3.23-3.51, 1 Tl 3.49
Tl  0.6718  0.1718  0.5000  6 Sn 3.23-3.51, 1 Tl 3.49
Tl  0.8282  0.6718  0.5000  6 Sn 3.23-3.51, 1 Tl 3.49
Sn  0.1468  0.6468  0.0000  2 Mn 2.75, 1 Sn 2.99
Sn  0.3532  0.1468  0.0000  2 Mn 2.75, 1 Sn 2.99
Sn  0.6468  0.8532  0.0000  2 Mn 2.75, 1 Sn 2.99
Sn  0.8532  0.3532  0.0000  2 Mn 2.75, 1 Sn 2.99

---

(3)
MnTl2Sn after structural relaxation. Source: the Alexandria database, functional PBE-GGA.

Energy above the most stable polymorph in this dataset ... 34.6 meV per atom

abc: 5.2769 5.2769 5.2769
angles: 60.00 60.00 60.00
Closest atoms and distances in Å follow each position.
Positions (direct):
Mn  0.0000  0.0000  0.0000  8 Tl 3.23
Tl  0.2500  0.2500  0.2500  4 Sn 3.23, 4 Mn 3.23
Tl  0.7500  0.7500  0.7500  4 Sn 3.23, 4 Mn 3.23
Sn  0.5000  0.5000  0.5000  8 Tl 3.23

---

(4)
MnTlSn3 after structural relaxation. Source: the Alexandria database, functional PBE-GGA.

abc: 5.0603 5.0603 5.0603
angles: 90.00 90.00 90.00
Closest atoms and distances in Å follow each position.
Positions (direct):
Mn  0.0000  0.0000  0.0000  6 Sn 2.53
Tl  0.5000  0.5000  0.5000  12 Sn 3.58
Sn  0.0000  0.0000  0.5000  2 Mn 2.53
Sn  0.0000  0.5000  0.0000  2 Mn 2.53
Sn  0.5000  0.0000  0.0000  2 Mn 2.53

---

(5)
TmMn6Sn6 after structural relaxation. Source: the Alexandria database, functional PBE-GGA.

abc: 5.4377 5.4377 8.9525
angles: 90.00 90.00 120.00
Closest atoms and distances in Å follow each position.
Positions (direct):
Tm  0.0000  0.0000  0.0000  8 Sn 2.98-3.14
Mn  0.0000  0.5000  0.2480  4 Mn 2.72, 6 Sn 2.72-2.82
Mn  0.0000  0.5000  0.7520  4 Mn 2.72, 6 Sn 2.72-2.82
Mn  0.5000  0.0000  0.2480  4 Mn 2.72, 6 Sn 2.72-2.82
Mn  0.5000  0.0000  0.7520  4 Mn 2.72, 6 Sn 2.72-2.82
Mn  0.5000  0.5000  0.2480  4 Mn 2.72, 6 Sn 2.72-2.82
Mn  0.5000  0.5000  0.7520  4 Mn 2.72, 6 Sn 2.72-2.82
Sn  0.0000  0.0000  0.3325  6 Mn 2.82, 1 Tm 2.98, 1 Sn 3.00
Sn  0.0000  0.0000  0.6675  6 Mn 2.82, 1 Tm 2.98, 1 Sn 3.00
Sn  0.3333  0.6667  0.0000  6 Mn 2.72
Sn  0.3333  0.6667  0.5000  6 Mn 2.75
Sn  0.6667  0.3333  0.0000  6 Mn 2.72
Sn  0.6667  0.3333  0.5000  6 Mn 2.75

---

(6)
U2MnSn after structural relaxation. Source: the Alexandria database, functional PBE-GGA.

abc: 10.0045 10.0045 10.0045
angles: 17.40 17.40 17.40
Closest atoms and distances in Å follow each position.
Positions (direct):
U  0.2378  0.2378  0.2378  3 Mn 2.73, 6 U 3.03
U  0.7622  0.7622  0.7622  3 Mn 2.73, 6 U 3.03
Mn  0.5000  0.5000  0.5000  6 U 2.73, 6 Mn 3.03
Sn  0.0000  0.0000  0.0000  6 Sn 3.03, 6 U 3.32

---

(7)
U2Mn3Sn2 after structural relaxation. Source: the Alexandria database, functional PBE-GGA.

abc: 6.4935 6.4935 4.8196
angles: 100.20 100.20 40.95
Closest atoms and distances in Å follow each position.
Positions (direct):
U  0.1518  0.1518  0.3638  2 Mn 2.08-2.29
U  0.8482  0.8482  0.6362  2 Mn 2.08-2.29
Mn  0.0000  0.0000  0.0000  2 U 2.29
Mn  0.2023  0.2023  0.8012  1 U 2.08
Mn  0.7977  0.7977  0.1988  1 U 2.08
Sn  0.4102  0.4102  0.1736  5 Mn 2.67-2.81
Sn  0.5898  0.5898  0.8264  5 Mn 2.67-2.81

---

(8)
UMnSn2 after structural relaxation. Source: the Alexandria database, functional PBE-GGA.

abc: 6.0014 6.0014 6.0014
angles: 43.99 43.99 43.99
Closest atoms and distances in Å follow each position.
Positions (direct):
U  0.0000  0.0000  0.0000  6 Sn 3.11
Mn  0.5000  0.5000  0.5000  6 Sn 2.78
Sn  0.2279  0.2279  0.2279  3 Mn 2.78, 3 U 3.11
Sn  0.7721  0.7721  0.7721  3 Mn 2.78, 3 U 3.11

---

(9)
Mn4VSn after structural relaxation. Source: the Alexandria database, functional PBE-GGA.

abc: 4.8017 4.8017 4.8017
angles: 60.00 60.00 60.00
Closest atoms and distances in Å follow each position.
Positions (direct):
Mn  0.1248  0.1248  0.1248  6 Mn 2.40
Mn  0.1248  0.1248  0.6256  6 Mn 2.40
Mn  0.1248  0.6256  0.1248  6 Mn 2.40
Mn  0.6256  0.1248  0.1248  6 Mn 2.40
V  0.5000  0.5000  0.5000  12 Mn 2.82, 4 Sn 2.94
Sn  0.7500  0.7500  0.7500  12 Mn 2.81, 4 V 2.94

---

(10)
Mn2VSn after structural relaxation. Source: the Alexandria database, functional PBE-GGA.

abc: 4.0454 4.0454 3.5546
angles: 90.00 90.00 90.00
Closest atoms and distances in Å follow each position.
Positions (direct):
Mn  0.0000  0.5000  0.0000  4 Sn 2.69, 4 V 2.69, 4 Mn 2.86
Mn  0.5000  0.0000  0.0000  4 Sn 2.69, 4 V 2.69, 4 Mn 2.86
V  0.0000  0.0000  0.5000  8 Mn 2.69, 4 Sn 2.86
Sn  0.5000  0.5000  0.5000  8 Mn 2.69, 4 V 2.86

---

(11)
Mn2V8Sn after structural relaxation. Source: the Alexandria database, functional PBE-GGA.

abc: 6.1695 6.1695 5.5635
angles: 100.28 100.28 49.02
Closest atoms and distances in Å follow each position.
Positions (direct):
Mn  0.2337  0.2337  0.2321  3 V 2.16-2.41
Mn  0.7663  0.7663  0.7679  3 V 2.16-2.41
V  0.1800  0.6084  0.5837  1 V 2.19, 1 Mn 2.41
V  0.2123  0.2123  0.7775  5 V 2.46-2.72, 3 Mn 2.49-2.63
V  0.3916  0.8200  0.4163  1 V 2.19, 1 Mn 2.41
V  0.3997  0.3997  0.0909  1 Mn 2.16
V  0.6003  0.6003  0.9091  1 Mn 2.16
V  0.6084  0.1800  0.5837  1 V 2.19, 1 Mn 2.41
V  0.7877  0.7877  0.2225  5 V 2.46-2.72, 3 Mn 2.49-2.63
V  0.8200  0.3916  0.4163  1 V 2.19, 1 Mn 2.41
Sn  0.0000  0.0000  0.0000  2 Mn 2.69, 10 V 2.80-2.89

---

(12)
Mn2VSn after structural relaxation. Source: the Alexandria database, functional PBE-GGA.

abc: 9.5558 9.5558 9.5558
angles: 156.67 156.67 33.23
Closest atoms and distances in Å follow each position.
Positions (direct):
Mn  0.1148  0.6250  0.9898  2 V 2.65, 4 Mn 2.68-2.79, 2 Sn 2.68
Mn  0.3750  0.3648  0.4898  2 V 2.65, 4 Mn 2.68-2.79, 2 Sn 2.68
Mn  0.6352  0.1250  0.0102  2 V 2.65, 4 Mn 2.68-2.79, 2 Sn 2.68
Mn  0.8750  0.8852  0.5102  2 V 2.65, 4 Mn 2.68-2.79, 2 Sn 2.68
V  0.0000  0.0000  0.0000  4 Mn 2.65, 4 Sn 2.73
V  0.7500  0.2500  0.5000  4 Mn 2.65, 4 Sn 2.73
Sn  0.2500  0.7500  0.5000  4 Mn 2.68, 4 V 2.73
Sn  0.5000  0.5000  0.0000  4 Mn 2.68, 4 V 2.73

---

Computed spin magnetization (μB/f.u.) in order:
0.0 3.6 4.6 1.8 12.8 0.0 0.0 5.7 4.1 2.9 0.0 5.3
Computed calculated formation energy (meV/atom) in order:
777 222 426 145 -128 219 -189 213 52 45 215 562